(1)
YBeRe GGA-PBE optimized geometry; electronic total energy = -21.1 eV/f.u.; ρ = 8.97 g/cm3; DOS(E_F) = 2.59 states/eV/f.u.; SG = No. 156; excess energy over the best structure of this formula in the dataset = 1.14 eV/f.u.; total magnetic moment = 0.0 μB per formula unit
1.0
3.2968 0.0000 0.0000
-1.6484 2.8551 0.0000
0.0000 0.0000 5.5877
Y Be Re
1 1 1
direct
0.0000 0.0000 0.0000
0.6667 0.3333 0.3698
0.3333 0.6667 0.5920

(2)
YBe2Re GGA-PBE optimized geometry; electronic total energy = -24.7 eV/f.u.; ρ = 6.84 g/cm3; DOS(E_F) = 0.78 states/eV/f.u.; SG = No. 141; excess energy over the best structure of this formula in the dataset = 1.71 eV/f.u.; total magnetic moment = 0.0 μB per formula unit
1.0
-2.0981 2.0981 8.0867
2.0981 -2.0981 8.0867
2.0981 2.0981 -8.0867
Y Be Re
2 4 2
direct
0.3750 0.6250 0.7500
0.6250 0.3750 0.2500
0.0000 0.0000 0.0000
0.0000 0.0000 0.5000
0.0000 0.5000 0.0000
0.5000 0.0000 0.5000
0.1250 0.8750 0.2500
0.8750 0.1250 0.7500

(3)
YBe2Re GGA-PBE optimized geometry; electronic total energy = -26.3 eV/f.u.; ρ = 7.64 g/cm3; DOS(E_F) = 2.39 states/eV/f.u.; SG = No. 12; excess energy over the best structure of this formula in the dataset = 0.14 eV/f.u.; total magnetic moment = 0.0 μB per formula unit
1.0
3.8771 -1.7541 0.0000
3.8771 1.7541 0.0000
-1.7427 0.0000 4.6819
Y Be Re
1 2 1
direct
0.0000 0.0000 0.0000
0.2146 0.2146 0.5899
0.7854 0.7854 0.4101
0.5000 0.5000 0.5000

(4)
Y2BeRe GGA-PBE optimized geometry; electronic total energy = -28.5 eV/f.u.; ρ = 7.63 g/cm3; DOS(E_F) = 4.20 states/eV/f.u.; SG = No. 44; total magnetic moment = 0.0 μB per formula unit
1.0
-1.7833 2.3142 4.9168
1.7833 -2.3142 4.9168
1.7833 2.3142 -4.9168
Y Be Re
2 1 1
direct
0.0000 0.0000 0.0000
0.7130 0.2130 0.5000
0.4412 0.4412 0.0000
0.2923 0.7923 0.5000

(5)
YBe3Re GGA-PBE optimized geometry; electronic total energy = -29.1 eV/f.u.; ρ = 6.27 g/cm3; DOS(E_F) = 1.31 states/eV/f.u.; SG = No. 221; excess energy over the best structure of this formula in the dataset = 0.00 eV/f.u.; total magnetic moment = 0.0 μB per formula unit
1.0
4.3088 0.0000 0.0000
0.0000 4.3088 0.0000
0.0000 0.0000 4.3088
Y Be Re
1 3 1
direct
0.0000 0.0000 0.0000
0.0000 0.5000 0.5000
0.5000 0.0000 0.5000
0.5000 0.5000 0.0000
0.5000 0.5000 0.5000

(6)
YBeRe GGA-PBE optimized geometry; electronic total energy = -17.6 eV/f.u.; ρ = 6.99 g/cm3; DOS(E_F) = 4.55 states/eV/f.u.; SG = No. 216; excess energy over the best structure of this formula in the dataset = 4.67 eV/f.u.; total magnetic moment = 1.9 μB per formula unit
1.0
0.0000 3.2311 3.2311
3.2311 0.0000 3.2311
3.2311 3.2311 0.0000
Y Be Re
1 1 1
direct
0.0000 0.0000 0.0000
0.2500 0.2500 0.2500
0.7500 0.7500 0.7500

(7)
YBe2Re GGA-PBE optimized geometry; electronic total energy = -23.5 eV/f.u.; ρ = 7.95 g/cm3; DOS(E_F) = 4.00 states/eV/f.u.; SG = No. 160; excess energy over the best structure of this formula in the dataset = 2.95 eV/f.u.; total magnetic moment = 0.0 μB per formula unit
1.0
1.4104 0.8143 8.8897
-1.4104 0.8143 8.8897
0.0000 -1.6286 8.8897
Y Be Re
1 2 1
direct
0.0000 0.0000 0.0000
0.4933 0.4933 0.4933
0.7613 0.7613 0.7613
0.2316 0.2316 0.2316

(8)
Y2BeRe2 GGA-PBE optimized geometry; electronic total energy = -40.5 eV/f.u.; ρ = 9.39 g/cm3; DOS(E_F) = 5.74 states/eV/f.u.; SG = No. 127; excess energy over the best structure of this formula in the dataset = 0.00 eV/f.u.; total magnetic moment = 0.0 μB per formula unit
1.0
6.5528 0.0000 0.0000
0.0000 6.5528 0.0000
0.0000 0.0000 4.6053
Y Be Re
4 2 4
direct
0.1773 0.3227 0.0000
0.3227 0.8227 0.0000
0.6773 0.1773 0.0000
0.8227 0.6773 0.0000
0.0000 0.0000 0.5000
0.5000 0.5000 0.5000
0.1297 0.6297 0.5000
0.3703 0.1297 0.5000
0.6297 0.8703 0.5000
0.8703 0.3703 0.5000

- Among the records above, which one has the highest total magnetic moment?
  number 6